{"formula": "ZnReSe", "functional": "PBE", "state": "optimized geometry", "cell": [[4.512, 0.000, 0.000], [-2.256, 3.908, 0.000], [0.000, 0.000, 2.730]], "species": ["Re", "Se", "Zn"], "frac_coords": [[0.000, 0.000, 0.167], [0.667, 0.333, 0.167], [0.333, 0.667, 0.666]], "de_polymorph_mev_per_atom": 410, "formation_energy_uncorrected_mev_per_atom": 573, "dft_energy_ha_per_atom": -0.1897}

***

{"formula": "Dy4MgPd", "functional": "PBE", "state": "optimized geometry", "cell": [[8.461, 0.000, 4.885], [2.820, 7.977, 4.885], [0.000, 0.000, 9.770]], "species": ["Dy", "Dy", "Dy", "Dy", "Dy", "Dy", "Dy", "Dy", "Dy", "Dy", "Dy", "Dy", "Dy", "Dy", "Dy", "Dy", "Mg", "Mg", "Mg", "Mg", "Pd", "Pd", "Pd", "Pd"], "frac_coords": [[0.400, 0.400, 0.400], [0.801, 0.400, 0.400], [0.400, 0.801, 0.400], [0.400, 0.400, 0.801], [0.560, 0.560, 0.940], [0.940, 0.940, 0.560], [0.560, 0.940, 0.560], [0.940, 0.560, 0.940], [0.940, 0.560, 0.560], [0.560, 0.940, 0.940], [0.183, 0.183, 0.817], [0.817, 0.817, 0.183], [0.183, 0.817, 0.183], [0.817, 0.183, 0.817], [0.817, 0.183, 0.183], [0.183, 0.817, 0.817], [0.170, 0.170, 0.170], [0.491, 0.170, 0.170], [0.170, 0.491, 0.170], [0.170, 0.170, 0.491], [0.607, 0.607, 0.607], [0.180, 0.607, 0.607], [0.607, 0.180, 0.607], [0.607, 0.607, 0.180]], "de_polymorph_mev_per_atom": 0, "dft_energy_ha_per_atom": -0.1675, "e_form_mev_per_atom": -359}

***

{"formula": "CuTe2RuF", "functional": "PBE", "state": "optimized geometry", "cell": [[5.165, 0.000, 0.000], [0.000, 3.639, 0.000], [0.000, 0.000, 5.165]], "species": ["Ru", "Te", "Te", "Cu", "F"], "frac_coords": [[0.500, 0.500, 0.500], [0.000, 0.000, 0.500], [0.500, 0.000, 0.000], [0.000, 0.000, 0.000], [0.000, 0.500, 0.000]], "formation_energy_uncorrected_mev_per_atom": 130, "dft_energy_ha_per_atom": -0.1534}